No. 1
DFT (PBE) results for a relaxed Tb2CeTmS4 crystal.

Values from the calculation:
DOS(E_F) = 0.89 states/eV/atom
Uncorrected energy = -6.5215 eV per atom
Theoretical density = 7.3 Mg/m³
Raw formation energy = -2.000 eV per atom

Lattice parameters (Å, degrees): 3.911 6.842 6.795 109.25 90.00 90.00
Site moments in Bohr magnetons follow the coordinates.
Element x y z (fractional)
Tm1 0.000 0.000 0.000  0.01
S1 0.000 0.241 0.747  -0.01
S2 0.500 0.758 0.753  0.00
S3 0.500 0.242 0.247  0.00
S4 0.000 0.759 0.253  -0.01
Tb1 0.000 0.500 0.500  0.01
Tb2 0.500 0.000 0.500  0.00
Ce1 0.500 0.500 0.000  0.50

***

No. 2
DFT (PBE) results for a relaxed Tb4CeTmS8 crystal.

Values from the calculation:
DOS(E_F) = 0.88 states/eV/atom
Uncorrected energy = -6.3401 eV per atom
Theoretical density = 5.3 Mg/m³
Raw formation energy = -1.915 eV per atom

Lattice parameters (Å, degrees): 8.129 8.129 8.099 59.88 59.88 60.00
Site moments in Bohr magnetons follow the coordinates.
Element x y z (fractional)
S1 0.239 0.239 0.283  -0.01
S2 0.761 0.761 0.252  0.00
S3 0.235 0.786 0.743  -0.01
S4 0.226 0.761 0.252  0.00
S5 0.786 0.235 0.743  -0.01
S6 0.235 0.235 0.743  -0.01
S7 0.761 0.226 0.252  0.00
S8 0.757 0.757 0.730  0.00
Ce1 0.376 0.376 0.873  1.12
Tb1 0.000 0.500 0.500  0.05
Tb2 0.000 0.000 0.500  0.05
Tb3 0.624 0.624 0.128  0.05
Tb4 0.500 0.000 0.500  0.05
Tm1 0.000 0.000 0.000  0.04

***

No. 3
DFT (PBE) results for a relaxed Tb4Ce3TmS8 crystal.

Values from the calculation:
DOS(E_F) = 1.08 states/eV/atom
Uncorrected energy = -6.6308 eV per atom
Theoretical density = 7.0 Mg/m³
Raw formation energy = -2.017 eV per atom

Lattice parameters (Å, degrees): 7.901 7.909 7.900 119.96 120.00 90.00
Site moments in Bohr magnetons follow the coordinates.
Element x y z (fractional)
Tm1 0.000 0.500 0.000  0.02
S1 0.753 0.247 0.506  -0.01
S2 0.759 0.753 0.006  -0.01
S3 0.753 0.247 0.994  -0.01
S4 0.247 0.753 0.494  -0.01
S5 0.241 0.247 0.994  -0.01
S6 0.247 0.753 0.006  -0.01
S7 0.247 0.241 0.494  -0.01
S8 0.753 0.759 0.506  -0.01
Tb1 0.000 0.000 0.000  -0.01
Tb2 0.500 0.000 0.000  0.01
Tb3 0.000 0.000 0.500  -0.01
Tb4 0.500 0.000 0.500  -0.01
Ce1 0.500 0.500 0.500  0.48
Ce2 0.000 0.500 0.500  0.48
Ce3 0.500 0.500 0.000  0.48

***

No. 4
DFT (PBE) results for a relaxed TbCe2TmS5 crystal.

Values from the calculation:
DOS(E_F) = 2.04 states/eV/atom
Uncorrected energy = -6.1479 eV per atom
Theoretical density = 5.3 Mg/m³
Raw formation energy = -1.525 eV per atom

Lattice parameters (Å, degrees): 4.854 4.854 10.303 90.00 90.00 90.00
Site moments in Bohr magnetons follow the coordinates.
Element x y z (fractional)
S1 0.000 0.000 0.246  -0.01
S2 0.000 0.000 0.754  -0.01
S3 0.000 0.500 0.500  -0.02
S4 0.500 0.000 0.500  -0.02
S5 0.500 0.500 0.000  -0.01
Ce1 0.500 0.500 0.700  1.30
Ce2 0.500 0.500 0.300  1.30
Tb1 0.000 0.000 0.000  0.07
Tm1 0.000 0.000 0.500  0.10

***

No. 5
DFT (PBE) results for a relaxed Tb2CeTmS6 crystal.

Values from the calculation:
DOS(E_F) = 0.49 states/eV/atom
Uncorrected energy = -6.4621 eV per atom
Theoretical density = 5.2 Mg/m³
Raw formation energy = -2.019 eV per atom

Lattice parameters (Å, degrees): 6.982 6.982 7.392 61.82 61.82 60.00
Site moments in Bohr magnetons follow the coordinates.
Element x y z (fractional)
S1 0.715 0.131 0.752  -0.01
S2 0.609 0.220 0.249  -0.01
S3 0.401 0.715 0.752  -0.01
S4 0.131 0.401 0.752  -0.01
S5 0.220 0.923 0.249  -0.01
S6 0.923 0.609 0.249  -0.01
Ce1 0.811 0.811 0.566  0.94
Tm1 0.317 0.317 0.048  0.00
Tb1 0.015 0.015 0.955  0.01
Tb2 0.519 0.519 0.443  0.01

***

No. 6
DFT (PBE) results for a relaxed TbCeTm2S6 crystal.

Values from the calculation:
DOS(E_F) = 0.50 states/eV/atom
Uncorrected energy = -6.4496 eV per atom
Theoretical density = 5.4 Mg/m³
Raw formation energy = -2.022 eV per atom

Lattice parameters (Å, degrees): 6.950 6.950 7.339 61.74 61.74 60.00
Site moments in Bohr magnetons follow the coordinates.
Element x y z (fractional)
S1 0.137 0.390 0.747  -0.01
S2 0.726 0.137 0.747  -0.01
S3 0.906 0.622 0.245  -0.01
S4 0.390 0.726 0.747  -0.01
S5 0.227 0.906 0.245  -0.01
S6 0.622 0.227 0.245  -0.01
Tm1 0.014 0.014 0.959  0.01
Tm2 0.516 0.516 0.451  0.01
Tb1 0.314 0.314 0.057  0.00
Ce1 0.809 0.809 0.572  0.94

***

What is the theoretical density in the second record? 5.3 Mg/m³